(1)
A plane-wave DFT calculation with GGA-PBE was carried out for crystalline Re2GeTeRu at its relaxed geometry.

Cell lengths 4.800, 4.800, 4.587 Å; angles 90.00, 90.00, 90.00 degrees
Positions (direct):
Re  0.000  0.500  0.000
Re  0.500  0.000  0.000
Ge  0.000  0.000  0.500
Te  0.500  0.500  0.500
Ru  0.000  0.000  0.000

Formation energy from raw total energies in eV per formula unit: 7.59
DFT total energy in eV per formula unit: -34.34
Fermi-level density of states in states/eV/f.u.: 6.1
Energy relative to the lowest polymorph listed for this composition in meV/atom: 0


(2)
A plane-wave DFT calculation with GGA-PBE was carried out for crystalline Tb3GaSi3 at its relaxed geometry.

Cell lengths 3.913, 4.243, 17.907 Å; angles 90.00, 90.00, 90.00 degrees
Positions (direct):
Tb  0.000  0.000  0.000
Tb  0.000  0.000  0.370
Tb  0.000  0.500  0.690
Tb  0.500  0.000  0.190
Tb  0.500  0.500  0.500
Tb  0.500  0.500  0.870
Ga  0.000  0.500  0.119
Ga  0.500  0.000  0.619
Si  0.000  0.000  0.537
Si  0.000  0.000  0.834
Si  0.000  0.500  0.253
Si  0.500  0.000  0.753
Si  0.500  0.500  0.037
Si  0.500  0.500  0.334

Formation energy from raw total energies in eV per formula unit: -5.22
DFT total energy in eV per formula unit: -38.41
Fermi-level density of states in states/eV/f.u.: 3.1


(3)
A plane-wave DFT calculation with GGA-PBE was carried out for crystalline AgSbWI2 at its relaxed geometry.

Cell lengths 5.650, 5.650, 5.228 Å; angles 90.00, 90.00, 90.00 degrees
Positions (direct):
Ag  0.000  0.000  0.000
Sb  0.500  0.500  0.000
W  0.500  0.500  0.500
I  0.000  0.500  0.500
I  0.500  0.000  0.500

Formation energy from raw total energies in eV per formula unit: 4.29
DFT total energy in eV per formula unit: -18.73
Fermi-level density of states in states/eV/f.u.: 3.9
Energy relative to the lowest polymorph listed for this composition in meV/atom: 0